(1)
# ReAsBr2

A relaxed ReAsBr2 crystal (GGA-PBE, Alexandria via LeMat-Bulk).

Computed properties:
Space group = R3m (160)
VASP energy = -19.2 eV per formula unit
Energy relative to the elements, uncorrected = 30 kJ per mole of atoms
Excess energy over the best structure of this formula in the dataset = 164.8 meV/atom
Fermi-level density of states = 3.02 states/eV/f.u.

Lattice parameters (Å, degrees): 9.314 9.314 9.314 20.79 20.79 20.79
Atoms (fractional coordinates):
Re1 0.490 0.490 0.490
As1 0.766 0.766 0.766
Br1 0.019 0.019 0.019
Br2 0.226 0.226 0.226



(2)
# ReAsBr2

A relaxed ReAsBr2 crystal (GGA-PBE, Alexandria via LeMat-Bulk).

Computed properties:
Space group = P4/mmm (123)
VASP energy = -16.3 eV per formula unit
Energy relative to the elements, uncorrected = 99 kJ per mole of atoms
Excess energy over the best structure of this formula in the dataset = 880.4 meV/atom
Fermi-level density of states = 4.98 states/eV/f.u.

Lattice parameters (Å, degrees): 3.073 3.073 9.147 90.00 90.00 90.00
Atoms (fractional coordinates):
Re1 0.500 0.500 0.250
As1 0.500 0.500 0.750
Br1 0.000 0.000 0.073
Br2 0.000 0.000 0.427



(3)
# Re2AsBr

A relaxed Re2AsBr crystal (GGA-PBE, Alexandria via LeMat-Bulk).

Computed properties:
Space group = Fm-3m (225)
VASP energy = -27.0 eV per formula unit
Energy relative to the elements, uncorrected = 101 kJ per mole of atoms
Excess energy over the best structure of this formula in the dataset = 837.0 meV/atom
Fermi-level density of states = 3.73 states/eV/f.u.

Lattice parameters (Å, degrees): 4.441 4.441 4.441 60.00 60.00 60.00
Atoms (fractional coordinates):
Re1 0.250 0.250 0.250
Re2 0.750 0.750 0.750
As1 0.000 0.000 0.000
Br1 0.500 0.500 0.500